# 1
# YIrCl2 PBE relaxed
data_YIrCl2
_cell_length_a 3.2825
_cell_length_b 3.2825
_cell_length_c 25.6317
_cell_angle_alpha 90.00
_cell_angle_beta 90.00
_cell_angle_gamma 120.00
_space_group_name_H-M_alt 'R -3 m'
_space_group_IT_number 166
_space_group_name_Hall '-R 3 2"'
loop_
_atom_site_label
_atom_site_fract_x
_atom_site_fract_y
_atom_site_fract_z
_atom_site_occupancy
Y1 0.0000 0.0000 0.0000 1
Ir1 0.0000 0.0000 0.5000 1
Cl1 0.0000 0.0000 0.4096 1
# - energy above the lowest structure with this stoichiometry (eV per atom) = 0.603


# 2
Below is a geometry-optimized Y4IrCl5 structure, with properties calculated at the PBE level.

```
data_Y4IrCl5
_cell_length_a 18.8667
_cell_length_b 3.9184
_cell_length_c 8.3136
_cell_angle_alpha 90.00
_cell_angle_beta 98.72
_cell_angle_gamma 90.00
_space_group_name_H-M_alt 'C 1 2/m 1'
_space_group_IT_number 12
_space_group_name_Hall '-C 2y'
loop_
_atom_site_label
_atom_site_fract_x
_atom_site_fract_y
_atom_site_fract_z
_atom_site_occupancy
Y1 0.0075 0.0000 0.2254 1
Y2 0.1485 0.5000 0.0611 1
Ir1 0.0000 0.5000 0.0000 1
Cl1 0.0000 0.5000 0.5000 1
Cl2 0.1625 0.0000 0.2981 1
Cl3 0.1897 0.0000 0.8565 1
```


# 3
Below is a geometry-optimized YIrCl4 structure, with properties calculated at the PBE level.

```
data_YIrCl4
_cell_length_a 8.1035
_cell_length_b 8.1035
_cell_length_c 8.1035
_cell_angle_alpha 90.00
_cell_angle_beta 90.00
_cell_angle_gamma 90.00
_space_group_name_H-M_alt 'F -4 3 m'
_space_group_IT_number 216
_space_group_name_Hall 'F -4 2 3'
loop_
_atom_site_label
_atom_site_fract_x
_atom_site_fract_y
_atom_site_fract_z
_atom_site_occupancy
Y1 0.0000 0.0000 0.0000 1
Ir1 0.2500 0.2500 0.2500 1
Cl1 0.1246 0.1246 0.6246 1
```


# 4
# YIrCl2 PBE relaxed
data_YIrCl2
_cell_length_a 3.8308
_cell_length_b 3.9716
_cell_length_c 6.8498
_cell_angle_alpha 90.00
_cell_angle_beta 97.56
_cell_angle_gamma 90.00
_space_group_name_H-M_alt 'P 1 m 1'
_space_group_IT_number 6
_space_group_name_Hall 'P -2y'
loop_
_atom_site_label
_atom_site_fract_x
_atom_site_fract_y
_atom_site_fract_z
_atom_site_occupancy
Y1 0.0000 0.0000 0.0000 1
Ir1 0.4842 0.5000 0.9030 1
Cl1 0.3127 0.0000 0.6543 1
Cl2 0.7345 0.5000 0.2369 1
# - energy above the lowest structure with this stoichiometry (eV per atom) = 0.190


# 5
# YIrCl2 PBE relaxed
data_YIrCl2
_cell_length_a 14.0255
_cell_length_b 3.5366
_cell_length_c 4.0483
_cell_angle_alpha 90.00
_cell_angle_beta 106.51
_cell_angle_gamma 90.00
_space_group_name_H-M_alt 'C 1 m 1'
_space_group_IT_number 8
_space_group_name_Hall 'C -2y'
loop_
_atom_site_label
_atom_site_fract_x
_atom_site_fract_y
_atom_site_fract_z
_atom_site_occupancy
Y1 0.0000 0.0000 0.0000 1
Ir1 0.3531 0.0000 0.8556 1
Cl1 0.0966 0.5000 0.5952 1
Cl2 0.3522 0.5000 0.3546 1
# - energy above the lowest structure with this stoichiometry (eV per atom) = 0.349


# 6
# Y2IrCl PBE relaxed
data_Y2IrCl
_cell_length_a 3.7476
_cell_length_b 3.6471
_cell_length_c 15.1812
_cell_angle_alpha 90.00
_cell_angle_beta 90.00
_cell_angle_gamma 90.00
_space_group_name_H-M_alt 'A m m 2'
_space_group_IT_number 38
_space_group_name_Hall 'A 2 -2'
loop_
_atom_site_label
_atom_site_fract_x
_atom_site_fract_y
_atom_site_fract_z
_atom_site_occupancy
Y1 0.0000 0.0000 0.0000 1
Y2 0.5000 0.0000 0.2095 1
Ir1 0.5000 0.0000 0.5745 1
Cl1 0.0000 0.0000 0.8131 1
# - energy above the lowest structure with this stoichiometry (eV per atom) = 0.175


Formation energy from raw total energies values, unit eV per atom, following the record order: -0.426 -1.708 0.444 -0.839 -0.680 -1.004.